Entry 1:
# Tb3Pr5

Crystalline Tb3Pr5 at its relaxed geometry (PBE-GGA, the Alexandria database).

Values from the calculation:
Density of states at the Fermi level ... 13.14 states/eV/cell
Polymorph energy (0 for the lowest one) ... 0 meV/atom
ΔE_f ... 0.018 eV per atom
Symmetry ... No. 47

Unit cell a=5.1490 b=5.1822 c=10.3564 alpha=90.00 beta=90.00 gamma=90.00
Positions (direct):
Tb 0.0000 0.0000 0.0000
Tb 0.0000 0.5000 0.2477
Tb 0.0000 0.5000 0.7523
Pr 0.0000 0.0000 0.5000
Pr 0.5000 0.0000 0.2474
Pr 0.5000 0.0000 0.7526
Pr 0.5000 0.5000 0.0000
Pr 0.5000 0.5000 0.5000


Entry 2:
# Sm3Er2Hg4

Crystalline Sm3Er2Hg4 at its relaxed geometry (PBE-GGA, the Alexandria database).

Values from the calculation:
Density of states at the Fermi level ... 16.58 states/eV/cell
ΔE_f ... -0.278 eV per atom
Symmetry ... No. 64

Unit cell a=10.0625 b=10.0625 c=7.9573 alpha=90.00 beta=90.00 gamma=140.02
Positions (direct):
Sm 0.0000 0.0000 0.0000
Sm 0.0104 0.4896 0.2500
Sm 0.4896 0.0104 0.7500
Sm 0.5000 0.5000 0.5000
Sm 0.5104 0.9896 0.2500
Sm 0.9896 0.5104 0.7500
Er 0.0932 0.9068 0.4140
Er 0.4068 0.5932 0.9140
Er 0.5932 0.4068 0.0860
Er 0.9068 0.0932 0.5860
Hg 0.1598 0.8402 0.0392
Hg 0.1772 0.3228 0.2500
Hg 0.3228 0.1772 0.7500
Hg 0.3402 0.6598 0.5392
Hg 0.6598 0.3402 0.4608
Hg 0.6772 0.8228 0.2500
Hg 0.8228 0.6772 0.7500
Hg 0.8402 0.1598 0.9608


Entry 3:
# Ca3Pr2YSe6

Crystalline Ca3Pr2YSe6 at its relaxed geometry (PBE-GGA, the Alexandria database).

Values from the calculation:
Density of states at the Fermi level ... 4.64 states/eV/cell
Energy relative to the elements, uncorrected ... -183.03 kJ per mole of atoms
Symmetry ... No. 12

Unit cell a=7.2338 b=7.2338 c=7.3609 alpha=99.47 beta=99.47 gamma=119.94
Positions (direct):
Ca 0.0000 0.0000 0.0000
Ca 0.3310 0.6690 0.0000
Ca 0.6690 0.3310 0.0000
Pr 0.1659 0.8341 0.5000
Pr 0.8341 0.1659 0.5000
Y 0.5000 0.5000 0.5000
Se 0.0910 0.4155 0.2457
Se 0.2613 0.2613 0.7552
Se 0.4155 0.0910 0.2457
Se 0.5845 0.9090 0.7543
Se 0.7387 0.7387 0.2448
Se 0.9090 0.5845 0.7543


Entry 4:
# BaPb2W

Crystalline BaPb2W at its relaxed geometry (PBE-GGA, the Alexandria database).

Values from the calculation:
Density of states at the Fermi level ... 3.36 states/eV/cell
Polymorph energy (0 for the lowest one) ... 124 meV/atom
ΔE_f ... 0.598 eV per atom
Symmetry ... No. 71

Unit cell a=6.7976 b=6.7976 c=6.7976 alpha=152.87 beta=123.86 gamma=63.44
Positions (direct):
Ba 0.0000 0.0000 0.0000
Pb 0.2906 0.7906 0.5000
Pb 0.7094 0.2094 0.5000
W 0.5000 0.5000 0.0000


Entry 5:
# BaMnAl2

Crystalline BaMnAl2 at its relaxed geometry (PBE-GGA, the Alexandria database).

Values from the calculation:
Density of states at the Fermi level ... 3.71 states/eV/cell
ΔE_f ... 0.005 eV per atom
Symmetry ... No. 160

Unit cell a=6.6433 b=6.6433 c=6.6433 alpha=39.32 beta=39.32 gamma=39.32
Positions (direct):
Ba 0.0000 0.0000 0.0000
Mn 0.8136 0.8136 0.8136
Al 0.1914 0.1914 0.1914
Al 0.4801 0.4801 0.4801


Entry 6:
# Pm14SmMg

Crystalline Pm14SmMg at its relaxed geometry (PBE-GGA, the Alexandria database).

Values from the calculation:
Density of states at the Fermi level ... 20.01 states/eV/cell
ΔE_f ... 0.009 eV per atom
Symmetry ... No. 38

Unit cell a=10.2660 b=7.2351 c=7.2351 alpha=89.99 beta=90.00 gamma=90.00
Positions (direct):
Pm 0.0000 0.0000 0.0000
Pm 0.0000 0.0004 0.4992
Pm 0.0000 0.4992 0.0004
Pm 0.0000 0.4995 0.4995
Pm 0.2513 0.7493 0.7493
Pm 0.2523 0.2502 0.7490
Pm 0.2523 0.7490 0.2502
Pm 0.2532 0.2501 0.2501
Pm 0.5000 0.5004 0.9981
Pm 0.5000 0.9981 0.5004
Pm 0.7468 0.2501 0.2501
Pm 0.7477 0.2502 0.7490
Pm 0.7477 0.7490 0.2502
Pm 0.7487 0.7493 0.7493
Sm 0.5000 0.9996 0.9996
Mg 0.5000 0.4987 0.4987


Entry 7:
# Tb5Tm4Co2

Crystalline Tb5Tm4Co2 at its relaxed geometry (PBE-GGA, the Alexandria database).

Values from the calculation:
Density of states at the Fermi level ... 17.86 states/eV/cell
ΔE_f ... -0.014 eV per atom
Symmetry ... No. 10

Unit cell a=8.7737 b=3.4997 c=9.8047 alpha=90.00 beta=93.22 gamma=90.00
Positions (direct):
Tb 0.0000 0.0000 0.0000
Tb 0.0220 0.0000 0.3348
Tb 0.3499 0.0000 0.8548
Tb 0.6501 0.0000 0.1452
Tb 0.9780 0.0000 0.6652
Tm 0.3154 0.5000 0.1810
Tm 0.3177 0.5000 0.5327
Tm 0.6823 0.5000 0.4673
Tm 0.6846 0.5000 0.8190
Co 0.4621 0.0000 0.3537
Co 0.5379 0.0000 0.6463


Entry 8:
# YGa3Ru

Crystalline YGa3Ru at its relaxed geometry (PBE-GGA, the Alexandria database).

Values from the calculation:
Density of states at the Fermi level ... 14.12 states/eV/cell
Polymorph energy (0 for the lowest one) ... 252 meV/atom
ΔE_f ... -0.337 eV per atom
Symmetry ... No. 62

Unit cell a=5.7120 b=9.4613 c=7.5870 alpha=90.00 beta=90.00 gamma=90.00
Positions (direct):
Y 0.0118 0.2500 0.1063
Y 0.4882 0.7500 0.6063
Y 0.5118 0.2500 0.3937
Y 0.9882 0.7500 0.8937
Ga 0.0136 0.2500 0.5316
Ga 0.2412 0.0545 0.7556
Ga 0.2412 0.4455 0.7556
Ga 0.2588 0.5545 0.2556
Ga 0.2588 0.9455 0.2556
Ga 0.4864 0.7500 0.0316
Ga 0.5136 0.2500 0.9684
Ga 0.7412 0.0545 0.7444
Ga 0.7412 0.4455 0.7444
Ga 0.7588 0.5545 0.2444
Ga 0.7588 0.9455 0.2444
Ga 0.9864 0.7500 0.4684
Ru 0.0000 0.0000 0.5000
Ru 0.0000 0.5000 0.5000
Ru 0.5000 0.0000 0.0000
Ru 0.5000 0.5000 0.0000


Entry 9:
# ErNi2PH

Crystalline ErNi2PH at its relaxed geometry (PBE-GGA, the Alexandria database).

Values from the calculation:
Density of states at the Fermi level ... 4.18 states/eV/cell
Symmetry ... No. 63
Final energy ... -29.04 eV per formula unit

Unit cell a=5.2893 b=5.2893 c=6.5927 alpha=90.00 beta=90.00 gamma=139.11
Positions (direct):
Er 0.0590 0.9410 0.7500
Er 0.9410 0.0590 0.2500
Ni 0.3353 0.6647 0.5586
Ni 0.3353 0.6647 0.9414
Ni 0.6647 0.3353 0.0586
Ni 0.6647 0.3353 0.4414
P 0.2240 0.7760 0.2500
P 0.7760 0.2240 0.7500
H 0.5000 0.5000 0.0000
H 0.5000 0.5000 0.5000


Entry 10:
# Ce2PrNd

Crystalline Ce2PrNd at its relaxed geometry (PBE-GGA, the Alexandria database).

Values from the calculation:
Density of states at the Fermi level ... 11.01 states/eV/cell
Polymorph energy (0 for the lowest one) ... 122 meV/atom
ΔE_f ... 0.245 eV per atom
Symmetry ... No. 166

Unit cell a=12.6432 b=12.6432 c=12.6432 alpha=15.67 beta=15.67 gamma=15.67
Positions (direct):
Ce 0.0872 0.0872 0.0872
Ce 0.9128 0.9128 0.9128
Pr 0.0000 0.0000 0.0000
Nd 0.5000 0.5000 0.5000


Entry 11:
# Ce2ZnCo

Crystalline Ce2ZnCo at its relaxed geometry (PBE-GGA, the Alexandria database).

Values from the calculation:
Density of states at the Fermi level ... 14.35 states/eV/cell
Polymorph energy (0 for the lowest one) ... 0 meV/atom
ΔE_f ... -0.211 eV per atom
Symmetry ... No. 12

Unit cell a=6.7772 b=6.7772 c=7.5189 alpha=94.96 beta=94.96 gamma=28.99
Positions (direct):
Ce 0.0587 0.0587 0.2933
Ce 0.2373 0.2373 0.7133
Ce 0.7627 0.7627 0.2867
Ce 0.9413 0.9413 0.7067
Zn 0.4021 0.4021 0.0503
Zn 0.5979 0.5979 0.9497
Co 0.4060 0.4060 0.3907
Co 0.5940 0.5940 0.6093


Entry 12:
# AlZn2Cu8

Crystalline AlZn2Cu8 at its relaxed geometry (PBE-GGA, the Alexandria database).

Values from the calculation:
Density of states at the Fermi level ... 3.20 states/eV/cell
Polymorph energy (0 for the lowest one) ... 79 meV/atom
ΔE_f ... 0.033 eV per atom
Symmetry ... No. 12

Unit cell a=6.7876 b=6.7876 c=4.3734 alpha=105.35 beta=105.35 gamma=121.03
Positions (direct):
Al 0.0000 0.0000 0.0000
Zn 0.3084 0.6916 0.5000
Zn 0.6916 0.3084 0.5000
Cu 0.0973 0.3295 0.6504
Cu 0.2077 0.7923 0.0000
Cu 0.3295 0.0973 0.6504
Cu 0.4188 0.4188 0.1901
Cu 0.5812 0.5812 0.8099
Cu 0.6705 0.9027 0.3496
Cu 0.7923 0.2077 0.0000
Cu 0.9027 0.6705 0.3496